CaY2Sb (PBE, optimized geometry); ΔE to the lowest computed polymorph = 296 meV per atom
1.0
-0.7570 -5.4073 0.5156
4.2896 -3.4069 -0.2643
1.7252 -2.5923 4.5146
Y Sb Ca
2 1 1
direct
0.0000 0.0000 0.0000
0.2500 0.2500 0.2500
0.7500 0.7500 0.7500
0.5000 0.5000 0.5000



DyGa3Pt3 (PBE, optimized geometry); ΔE_f = -0.817 eV/atom; ΔE to the lowest computed polymorph = 0 meV per atom
1.0
-2.8266 -5.2815 3.3664
2.1892 -6.4029 -1.1943
3.9734 -3.2948 5.1802
Dy Ga Pt
2 6 6
direct
0.3395 0.3395 0.9816
0.6605 0.6605 0.0184
0.5387 0.7325 0.6316
0.7325 0.0972 0.6316
0.0972 0.5387 0.6316
0.9028 0.4613 0.3684
0.2675 0.9028 0.3684
0.4613 0.2675 0.3684
0.1761 0.6907 0.2137
0.9195 0.1761 0.2137
0.6907 0.9195 0.2137
0.3093 0.0805 0.7863
0.0805 0.8239 0.7863
0.8239 0.3093 0.7863



InGaIr (PBE, optimized geometry); ΔE_f = -0.227 eV/atom
1.0
-2.0277 2.6820 -4.1133
5.6490 -8.2473 -8.1621
-2.5686 -1.8309 0.0724
In Ga Ir
4 4 4
direct
0.0000 0.7023 0.5000
0.0000 0.2977 0.5000
0.5000 0.2023 0.0000
0.5000 0.7977 0.0000
0.2368 0.5000 0.0000
0.7632 0.5000 0.0000
0.7368 0.0000 0.5000
0.2632 0.0000 0.5000
0.0000 0.8812 0.0000
0.0000 0.1188 0.0000
0.5000 0.3812 0.5000
0.5000 0.6188 0.5000



Ba6TlO2 (PBE, optimized geometry); calculated total energy = -3.72 eV per atom
1.0
-5.5107 -0.7175 -0.7341
2.0142 -1.1862 7.4406
-1.1617 9.9616 -1.0161
Ba Tl O
6 1 2
direct
0.9391 0.8781 0.7977
0.7100 0.4199 0.0833
0.2900 0.5801 0.9167
0.6515 0.3031 0.6133
0.3485 0.6969 0.3867
0.0609 0.1219 0.2023
0.0000 0.0000 0.5000
0.7765 0.5531 0.8707
0.2235 0.4469 0.1293



Al2OsRu (PBE, optimized geometry); ΔE_f = -0.072 eV/atom
1.0
-4.0139 -1.3738 0.8391
-2.1245 -2.3822 -2.9180
-0.7364 -4.1940 0.7554
Ru Os Al
1 1 2
direct
0.7500 0.7500 0.7500
0.5000 0.5000 0.5000
0.0000 0.0000 0.0000
0.2500 0.2500 0.2500



TiTc2Rh (PBE, optimized geometry); ΔE_f = 0.360 eV/atom
1.0
7.1029 0.0000 0.0000
0.0000 7.1029 0.0000
3.5515 3.5515 2.5336
Rh Tc Ti
2 4 2
direct
0.0000 0.0000 0.0000
0.7500 0.2500 0.5000
0.6299 0.1250 0.2500
0.1201 0.6250 0.2500
0.3750 0.3701 0.7500
0.8750 0.8799 0.7500
0.5000 0.5000 0.0000
0.2500 0.7500 0.5000



Ca2NbCdFe (PBE, optimized geometry); ΔE_f = 1.439 eV/atom
1.0
5.4792 0.0000 0.0000
0.0000 5.3571 0.0000
0.0000 0.0000 5.4792
Nb Ca Fe Cd
1 2 1 1
direct
0.0000 0.0000 0.0000
0.0000 0.0000 0.5000
0.5000 0.0000 0.0000
0.5000 0.5000 0.5000
0.0000 0.5000 0.0000



YRu2Pt (PBE, optimized geometry); ΔE_f = 0.431 eV/atom; ΔE to the lowest computed polymorph = 645 meV per atom
1.0
9.5711 0.0061 0.0036
9.1341 2.8590 0.0036
9.1341 1.3991 2.4933
Pt Ru Y
1 2 1
direct
0.7500 0.7500 0.7500
0.0062 0.0062 0.0062
0.4938 0.4938 0.4938
0.2500 0.2500 0.2500



Here are the calculated D(E_F) numbers, same order: 6.11; 4.34; 4.14; 6.25; 2.56; 10.33; 8.43; 6.06 (states/eV per cell).